1.
Density functional theory data (PBE-GGA) for an optimized crystal structure of TcSbMo2.

E_form (uncorrected) = 261 meV/atom
Crystal system = orthorhombic
M_tot = 0.00 μB/atom

Lattice parameters (Å, degrees): 3.0336 4.1713 5.3780 90.00 90.00 90.00
Last column: nearest neighbours and their distance in Å.
Space group Pmm2 (No. 25)
Inequivalent atoms, fractional coordinates:
Tc: 0.0000 0.0000 0.0000 [1 per cell]  1 Mo 2.45
Sb: 0.5000 0.5000 0.7319 [1 per cell]  6 Mo 2.67-2.98, 4 Tc 2.95
Mo: 0.0000 0.0000 0.4551 [1 per cell]  1 Tc 2.45
Mo: 0.5000 0.5000 0.2282 [1 per cell]  2 Sb 2.67-2.71, 4 Mo 2.85, 4 Tc 2.86

=====

2.
Density functional theory data (PBE-GGA) for an optimized crystal structure of TcSb2Mo.

E_form (uncorrected) = 583 meV/atom
Crystal system = orthorhombic
Polymorph energy (0 for the lowest one) = 516.6 meV/atom
M_tot = 0.00 μB/atom

Lattice parameters (Å, degrees): 3.3763 5.3409 8.4831 90.00 90.00 90.00
Last column: nearest neighbours and their distance in Å.
Space group Cmmm (No. 65)
Inequivalent atoms, fractional coordinates:
Tc: 0.0000 0.0000 0.0000 [2 per cell]  4 Sb 2.68
Sb: 0.0000 0.5000 0.2461 [4 per cell]  2 Tc 2.68, 2 Mo 2.74
Mo: 0.0000 0.0000 0.5000 [2 per cell]  4 Sb 2.74

=====

3.
Density functional theory data (PBE-GGA) for an optimized crystal structure of Tc2SbMo.

E_form (uncorrected) = 235 meV/atom
Crystal system = tetragonal
M_tot = 0.00 μB/atom

Lattice parameters (Å, degrees): 3.1250 3.1250 6.6895 90.00 90.00 90.00
Last column: nearest neighbours and their distance in Å.
Space group P4mm (No. 99)
Inequivalent atoms, fractional coordinates:
Tc: 0.0000 0.0000 0.0000 [1 per cell]  4 Tc 2.75, 4 Sb 2.78
Tc: 0.5000 0.5000 0.2437 [1 per cell]  4 Mo 2.71, 4 Tc 2.75
Sb: 0.5000 0.5000 0.7485 [1 per cell]  4 Tc 2.78, 4 Mo 2.86
Mo: 0.0000 0.0000 0.4781 [1 per cell]  4 Tc 2.71, 4 Sb 2.86

=====

Which of these has the lowest E_form (uncorrected)? Tc2SbMo

=====

Which value of E_form (uncorrected) does entry 1 give? 261 meV/atom